[1]
# CaZn2F6 | the Alexandria database | PBE-GGA | optimized geometry
data_CaZn2F6
_chemical_formula_sum 'Ca2 Zn4 F12'
_cell_length_a 10.493
_cell_length_b 3.922
_cell_length_c 7.188
_cell_angle_alpha 90.00
_cell_angle_beta 119.99
_cell_angle_gamma 90.00
_space_group_name_H-M_alt 'C 1 2/m 1'
_space_group_IT_number 12
_space_group_name_Hall '-C 2y'
loop_
_atom_site_label
_atom_site_fract_x
_atom_site_fract_y
_atom_site_fract_z
_atom_site_occupancy
Ca1 0.000 0.000 0.000 1
Zn1 0.173 0.000 0.607 1
F1 0.016 0.000 0.694 1
F2 0.146 0.500 0.102 1
F3 0.218 0.500 0.594 1
# - ΔE_f (raw): -2.841 eV per atom
# - Energy above the lowest structure with this stoichiometry: 16 meV/atom
# - Total DFT energy (no corrections): -4.59 eV per atom
# - Density of states at the Fermi level: 0.000 states/eV per atom


[2]
# TbSm4Dy3Te8 | the Alexandria database | PBE-GGA | optimized geometry
data_TbSm4Dy3Te8
_chemical_formula_sum 'Tb3 Sm12 Dy9 Te24'
_cell_length_a 8.7571
_cell_length_b 8.7571
_cell_length_c 21.7929
_cell_angle_alpha 90.00
_cell_angle_beta 90.00
_cell_angle_gamma 120.00
_space_group_name_H-M_alt 'R -3 m'
_space_group_IT_number 166
_space_group_name_Hall '-R 3 2"'
loop_
_atom_site_label
_atom_site_fract_x
_atom_site_fract_y
_atom_site_fract_z
_atom_site_occupancy
Tb1 0.0000 0.0000 0.0000 1
Sm1 0.0000 0.0000 0.5000 1
Sm2 0.0000 0.5000 0.5000 1
Dy1 0.0000 0.5000 0.0000 1
Te1 0.0000 0.0000 0.2527 1
Te2 0.0008 0.5004 0.2525 1
# - ΔE_f (raw): -1.333 eV per atom
# - Total DFT energy (no corrections): -5.24 eV per atom
# - Density of states at the Fermi level: 0.756 states/eV per atom


[3]
# Ca2ScP3Pt7 | the Alexandria database | PBE-GGA | optimized geometry
data_Ca2ScP3Pt7
_chemical_formula_sum 'Ca4 Sc2 P6 Pt14'
_cell_length_a 4.073
_cell_length_b 4.073
_cell_length_c 27.217
_cell_angle_alpha 90.00
_cell_angle_beta 90.00
_cell_angle_gamma 90.00
_space_group_name_H-M_alt 'I -4 m 2'
_space_group_IT_number 119
_space_group_name_Hall 'I -4 -2'
loop_
_atom_site_label
_atom_site_fract_x
_atom_site_fract_y
_atom_site_fract_z
_atom_site_occupancy
Ca1 0.000 0.000 0.167 1
Sc1 0.000 0.000 0.000 1
P1 0.000 0.000 0.377 1
P2 0.000 0.500 0.250 1
Pt1 0.000 0.000 0.292 1
Pt2 0.000 0.000 0.500 1
Pt3 0.000 0.500 0.074 1
Pt4 0.000 0.500 0.575 1
# - Energy of formation from the pure elements: -13.72 eV/f.u.
# - Total DFT energy (no corrections): -6.35 eV per atom
# - Density of states at the Fermi level: 0.284 states/eV per atom